[1]
Below is LiZr after structural relaxation, with properties calculated at the PBEsol level.

abc: 6.9402 6.9402 6.1807
angles: 102.78 102.78 24.72
Closest atoms and distances in Å follow each position.
Fractional coordinates of all 6 atoms:
Li1 0.0000 0.0000 0.0000  5 Li 2.91-2.97, 6 Zr 3.13-3.20
Li2 0.0052 0.0052 0.5320  5 Li 2.91-2.97, 6 Zr 3.12-3.17
Li3 0.3460 0.3460 0.6852  6 Li 2.92-2.97, 6 Zr 3.02-3.17
Zr1 0.3353 0.3353 0.1923  6 Zr 2.95-3.00, 6 Li 3.02-3.17
Zr2 0.6710 0.6710 0.3441  6 Zr 2.97-3.15, 6 Li 3.13-3.16
Zr3 0.6852 0.6852 0.8594  6 Zr 2.95-3.15, 6 Li 3.03-3.20

Values from the calculation:
* energy relative to the elements: 230 meV per atom
* space group: Cm (8)
* energy relative to the lowest polymorph listed for this composition: 131.4 meV per atom

[2]
Below is PRh3S after structural relaxation, with properties calculated at the PBEsol level.

abc: 4.3034 4.3034 4.3034
angles: 90.00 90.00 90.00
Closest atoms and distances in Å follow each position.
Fractional coordinates of all 5 atoms:
P1 0.0000 0.0000 0.0000  12 Rh 3.04
Rh1 0.0000 0.5000 0.5000  2 S 2.15
Rh2 0.5000 0.0000 0.5000  2 S 2.15
Rh3 0.5000 0.5000 0.0000  2 S 2.15
S1 0.5000 0.5000 0.5000  6 Rh 2.15

Values from the calculation:
* space group: Pm-3m (221)
* raw formation energy: 448 meV/atom

[3]
Below is Li3CoN after structural relaxation, with properties calculated at the PBEsol level.

abc: 4.4336 4.4336 4.4336
angles: 90.00 90.00 90.00
Closest atoms and distances in Å follow each position.
Fractional coordinates of all 5 atoms:
Li1 0.0000 0.0000 0.5000  2 Co 2.22
Li2 0.0000 0.5000 0.0000  2 Co 2.22
Li3 0.5000 0.0000 0.0000  2 Co 2.22
Co1 0.0000 0.0000 0.0000  6 Li 2.22
N1 0.5000 0.5000 0.5000  12 Li 3.14

Values from the calculation:
* space group: Pm-3m (221)
* raw formation energy: 1459 meV/atom
* energy relative to the lowest polymorph listed for this composition: 1086.1 meV per atom

no.,N(E_F) (states/eV per cell),calculated total energy (eV per atom),V (Å³/f.u.)
1,6.0,-5.298,40.4
2,8.4,-6.471,79.7
3,4.6,-2.973,87.2